1.
A geometry-optimized MgGaPdRh structure, computed with PBE-GGA.

Space group: F-43m (216)
Total DFT energy (no corrections) in eV/atom: -4.987
Formation energy in eV/atom: -0.70

Unit cell a=4.369 b=4.369 c=4.369 alpha=60.00 beta=60.00 gamma=60.00
Positions (direct):
1 Mg 0.750 0.750 0.750
2 Rh 0.000 0.000 0.000
3 Ga 0.250 0.250 0.250
4 Pd 0.500 0.500 0.500

---

2.
A geometry-optimized MgGaPdRu structure, computed with PBE-GGA.

Space group: Pmmm (47)
Total DFT energy (no corrections) in eV/atom: -5.258
Formation energy in eV/atom: -0.49

Unit cell a=3.218 b=4.174 c=4.394 alpha=90.00 beta=90.00 gamma=90.00
Positions (direct):
1 Mg 0.000 0.000 0.000
2 Ga 0.000 0.500 0.500
3 Pd 0.500 0.500 0.000
4 Ru 0.500 0.000 0.500

---

3.
A geometry-optimized MgGaPdRu structure, computed with PBE-GGA.

Space group: F-43m (216)
Total DFT energy (no corrections) in eV/atom: -5.234
Formation energy in eV/atom: -0.46

Unit cell a=4.360 b=4.360 c=4.360 alpha=60.00 beta=60.00 gamma=60.00
Positions (direct):
1 Ru 0.750 0.750 0.750
2 Mg 0.500 0.500 0.500
3 Ga 0.000 0.000 0.000
4 Pd 0.250 0.250 0.250

---

4.
A geometry-optimized Mg2ScGaPd2 structure, computed with PBE-GGA.

Space group: Pmc2_1 (26)
Total DFT energy (no corrections) in eV/atom: -4.480
Formation energy in eV/atom: -0.66

Unit cell a=3.852 b=6.811 c=8.374 alpha=90.00 beta=90.00 gamma=90.00
Positions (direct):
1 Mg 0.500 0.044 0.080
2 Mg 0.000 0.368 0.183
3 Mg 0.500 0.544 0.920
4 Mg 0.000 0.868 0.817
5 Sc 0.000 0.968 0.424
6 Sc 0.000 0.468 0.576
7 Ga 0.500 0.148 0.687
8 Ga 0.500 0.648 0.313
9 Pd 0.000 0.255 0.872
10 Pd 0.500 0.263 0.392
11 Pd 0.000 0.755 0.128
12 Pd 0.500 0.763 0.608

---

5.
A geometry-optimized MgSc4Ga2Pd structure, computed with PBE-GGA.

Space group: R-3m (166)
Total DFT energy (no corrections) in eV/atom: -5.341
Formation energy in eV/atom: -0.57

Unit cell a=4.797 b=4.797 c=8.314 alpha=73.23 beta=73.23 gamma=60.00
Positions (direct):
1 Mg 0.000 0.000 0.000
2 Sc 0.383 0.383 0.852
3 Sc 0.870 0.870 0.391
4 Sc 0.130 0.130 0.609
5 Sc 0.617 0.617 0.148
6 Ga 0.743 0.743 0.771
7 Ga 0.257 0.257 0.229
8 Pd 0.500 0.500 0.500

---

6.
A geometry-optimized MgScGa2Pd2 structure, computed with PBE-GGA.

Space group: P-3m1 (164)
Total DFT energy (no corrections) in eV/atom: -4.772
Formation energy in eV/atom: -0.71

Unit cell a=4.410 b=4.410 c=6.101 alpha=90.00 beta=90.00 gamma=120.00
Positions (direct):
1 Mg 0.000 0.000 0.500
2 Sc 0.000 0.000 0.000
3 Ga 0.333 0.667 0.750
4 Ga 0.667 0.333 0.250
5 Pd 0.333 0.667 0.261
6 Pd 0.667 0.333 0.739

---

7.
A geometry-optimized MgSc2GaPd4 structure, computed with PBE-GGA.

Space group: R-3m (166)
Total DFT energy (no corrections) in eV/atom: -5.600
Formation energy in eV/atom: -0.84

Unit cell a=4.548 b=4.548 c=7.913 alpha=73.30 beta=73.30 gamma=60.00
Positions (direct):
1 Mg 0.000 0.000 0.000
2 Sc 0.751 0.751 0.746
3 Sc 0.249 0.249 0.254
4 Ga 0.500 0.500 0.500
5 Pd 0.376 0.376 0.872
6 Pd 0.874 0.874 0.379
7 Pd 0.126 0.126 0.621
8 Pd 0.624 0.624 0.128

---

8.
A geometry-optimized Mg2ScGa2Pd2 structure, computed with PBE-GGA.

Space group: C2/m (12)
Total DFT energy (no corrections) in eV/atom: -4.290
Formation energy in eV/atom: -0.58

Unit cell a=4.441 b=5.139 c=6.398 alpha=104.10 beta=90.00 gamma=115.60
Positions (direct):
1 Mg 0.645 0.290 0.772
2 Mg 0.355 0.710 0.228
3 Sc 0.000 0.000 0.000
4 Ga 0.129 0.258 0.455
5 Ga 0.871 0.742 0.545
6 Pd 0.650 0.299 0.209
7 Pd 0.350 0.701 0.791

---

9.
A geometry-optimized Mg2Ga2SiPd5 structure, computed with PBE-GGA.

Space group: P4/mbm (127)
Total DFT energy (no corrections) in eV/atom: -4.648
Formation energy (no corrections) in eV/atom: -0.585

Unit cell a=3.144 b=10.133 c=10.133 alpha=90.00 beta=90.00 gamma=90.00
Positions (direct):
1 Mg 0.000 0.666 0.166
2 Mg 0.000 0.334 0.834
3 Mg 0.000 0.166 0.334
4 Mg 0.000 0.834 0.666
5 Ga 0.000 0.139 0.639
6 Ga 0.000 0.861 0.361
7 Ga 0.000 0.639 0.861
8 Ga 0.000 0.361 0.139
9 Si 0.000 0.000 0.000
10 Si 0.000 0.500 0.500
11 Pd 0.500 0.196 0.030
12 Pd 0.500 0.804 0.970
13 Pd 0.500 0.030 0.804
14 Pd 0.500 0.696 0.470
15 Pd 0.500 0.970 0.196
16 Pd 0.500 0.304 0.530
17 Pd 0.500 0.530 0.696
18 Pd 0.500 0.470 0.304
19 Pd 0.500 0.500 0.000
20 Pd 0.500 0.000 0.500

---

10.
A geometry-optimized Mg2GaSi2Pd5 structure, computed with PBE-GGA.

Space group: P4/mbm (127)
Total DFT energy (no corrections) in eV/atom: -4.925
Formation energy (no corrections) in eV/atom: -0.622

Unit cell a=3.371 b=9.726 c=9.726 alpha=90.00 beta=90.00 gamma=90.00
Positions (direct):
1 Mg 0.000 0.671 0.171
2 Mg 0.000 0.329 0.829
3 Mg 0.000 0.171 0.329
4 Mg 0.000 0.829 0.671
5 Ga 0.000 0.000 0.000
6 Ga 0.000 0.500 0.500
7 Si 0.000 0.129 0.629
8 Si 0.000 0.871 0.371
9 Si 0.000 0.629 0.871
10 Si 0.000 0.371 0.129
11 Pd 0.500 0.202 0.071
12 Pd 0.500 0.798 0.929
13 Pd 0.500 0.071 0.798
14 Pd 0.500 0.702 0.429
15 Pd 0.500 0.929 0.202
16 Pd 0.500 0.298 0.571
17 Pd 0.500 0.571 0.702
18 Pd 0.500 0.429 0.298
19 Pd 0.500 0.500 0.000
20 Pd 0.500 0.000 0.500

---

11.
A geometry-optimized SmMgGa2Pd4 structure, computed with PBE-GGA.

Space group: R-3m (166)
Total DFT energy (no corrections) in eV/atom: -4.877
Formation energy in eV/atom: -0.73

Unit cell a=4.377 b=4.377 c=8.864 alpha=75.71 beta=75.71 gamma=60.00
Positions (direct):
1 Sm 0.000 0.000 0.000
2 Mg 0.500 0.500 0.500
3 Ga 0.759 0.759 0.723
4 Ga 0.241 0.241 0.277
5 Pd 0.399 0.399 0.803
6 Pd 0.871 0.871 0.388
7 Pd 0.129 0.129 0.612
8 Pd 0.601 0.601 0.197

---

12.
A geometry-optimized SmMgGa5Pd2 structure, computed with PBE-GGA.

Space group: P4/mmm (123)
Total DFT energy (no corrections) in eV/atom: -3.754
Formation energy in eV/atom: -0.22

Unit cell a=4.444 b=4.444 c=10.090 alpha=90.00 beta=90.00 gamma=90.00
Positions (direct):
1 Sm 0.000 0.000 0.500
2 Mg 0.000 0.000 0.000
3 Ga 0.000 0.500 0.166
4 Ga 0.500 0.000 0.166
5 Ga 0.000 0.500 0.834
6 Ga 0.500 0.000 0.834
7 Ga 0.500 0.500 0.500
8 Pd 0.500 0.500 0.271
9 Pd 0.500 0.500 0.729